# 1
Ba2TbRe2 (PBE, optimized geometry); M_tot = 1.33 Bohr magnetons per cell; energy above the most stable polymorph in this dataset = 0.0 meV/atom
1.0
-2.534 -1.649 -1.929
1.746 -3.111 0.366
-6.013 0.012 11.224
Ba Tb Re
2 1 2
direct
0.633 0.633 0.265 Ba
0.367 0.367 0.735 Ba
0.000 0.000 0.000 Tb
0.250 0.750 0.500 Re
0.750 0.250 0.500 Re


# 2
YLuSnTe3 (PBE, optimized geometry); M_tot = 0.02 Bohr magnetons per cell; energy above the most stable polymorph in this dataset = 28.7 meV/atom
1.0
-6.933 3.218 -2.023
5.401 -1.273 5.633
5.501 9.949 -3.026
Te Y Sn Lu
6 2 2 2
direct
0.641 0.359 0.046 Te
0.359 0.641 0.546 Te
0.359 0.641 0.954 Te
0.641 0.359 0.454 Te
0.102 0.898 0.750 Te
0.898 0.102 0.250 Te
0.000 0.000 0.000 Y
0.000 0.000 0.500 Y
0.810 0.190 0.750 Sn
0.190 0.810 0.250 Sn
0.526 0.474 0.250 Lu
0.474 0.526 0.750 Lu


# 3
SmScAsO (PBE, optimized geometry); M_tot = 0.78 Bohr magnetons per cell; energy above the most stable polymorph in this dataset = 0.0 meV/atom
1.0
-1.093 -3.889 -0.713
3.134 -1.624 4.054
-5.499 0.713 4.536
Sc O As Sm
2 2 2 2
direct
0.000 0.847 0.942 Sc
0.000 0.153 0.442 Sc
0.500 0.214 0.412 O
0.500 0.786 0.912 O
0.000 0.678 0.302 As
0.000 0.322 0.802 As
0.500 0.613 0.598 Sm
0.500 0.387 0.098 Sm


Q: Among the records above, which one has the highest energy above the most stable polymorph in this dataset?
A: YLuSnTe3


Q: energy above the most stable polymorph in this dataset of number 1 (Ba2TbRe2)?
A: 0.0 meV/atom